Here is Re2SiIr at its PBEsol-relaxed geometry from Alexandria via LeMat-Bulk. Energies are from SCAN.

Structure (extended XYZ):
```
4
Lattice="-0.588 -2.461 1.305 -1.930 -1.477 -3.655 5.091 0.332 -0.187" Properties=species:S:1:pos:R:3 pbc="T T T"
Ir 0.722 -1.460 -2.427
Re 0.022 -0.009 -0.008
Re 1.820 -2.134 -0.098
Si -1.250 -1.973 -1.178
```

Output
Uncorrected formation energy = -200 meV per atom


Here is ReSiIr at its PBEsol-relaxed geometry from Alexandria via LeMat-Bulk. Energies are from SCAN.

Structure (extended XYZ):
```
3
Lattice="-3.293 0.222 2.438 -1.952 -3.428 1.129 0.230 -1.308 3.882" Properties=species:S:1:pos:R:3 pbc="T T T"
Ir -2.507 -2.257 3.725
Re -1.254 -1.128 1.862
Si 0.000 0.000 0.000
```

Output
Uncorrected formation energy = 107 meV per atom


Here is Re2SiIr at its PBEsol-relaxed geometry from Alexandria via LeMat-Bulk. Energies are from SCAN.

Structure (extended XYZ):
```
4
Lattice="2.749 0.000 0.000 0.000 4.623 -0.030 -1.374 -0.495 4.422" Properties=species:S:1:pos:R:3 pbc="T T T"
Ir 1.374 1.027 2.135
Re 0.000 4.502 0.000
Re 0.000 3.304 2.251
Si 0.000 1.735 4.384
```

Output
Uncorrected formation energy = -45 meV per atom


Here is Sr2ReIr at its PBEsol-relaxed geometry from Alexandria via LeMat-Bulk. Energies are from SCAN.

Structure (extended XYZ):
```
4
Lattice="3.370 0.000 0.000 0.000 3.370 0.000 0.000 0.000 9.243" Properties=species:S:1:pos:R:3 pbc="T T T"
Ir 0.000 0.000 5.303
Re 1.685 1.685 6.217
Sr 0.000 0.000 8.572
Sr 1.685 1.685 3.015
```

Output
Calculated formation energy = 349 meV per atom
Relative energy among the computed polymorphs = 0 meV per atom


Here is SrReIr2 at its PBEsol-relaxed geometry from Alexandria via LeMat-Bulk. Energies are from SCAN.

Structure (extended XYZ):
```
4
Lattice="4.032 0.000 0.000 0.000 4.032 0.000 -2.016 -2.016 4.177" Properties=species:S:1:pos:R:3 pbc="T T T"
Ir 0.000 0.000 0.000
Ir 2.016 0.000 2.088
Re 2.016 2.016 0.000
Sr 0.000 2.016 2.088
```

Output
Calculated formation energy = 892 meV per atom
Relative energy among the computed polymorphs = 312 meV per atom


Here is Sr2ReIr at its PBEsol-relaxed geometry from Alexandria via LeMat-Bulk. Energies are from SCAN.

Structure (extended XYZ):
```
4
Lattice="-1.638 -2.009 1.387 3.616 -2.608 -2.623 3.162 0.624 4.640" Properties=species:S:1:pos:R:3 pbc="T T T"
Ir 1.581 0.312 2.320
Re -0.819 -1.005 0.693
Sr 2.913 -2.327 3.187
Sr 2.226 -1.666 0.217
```

Output
Calculated formation energy = 1111 meV per atom
Relative energy among the computed polymorphs = 761 meV per atom


Here is SrReIr2 at its PBEsol-relaxed geometry from Alexandria via LeMat-Bulk. Energies are from SCAN.

Structure (extended XYZ):
```
4
Lattice="2.821 0.000 0.000 0.000 4.901 0.000 0.000 0.000 4.901" Properties=species:S:1:pos:R:3 pbc="T T T"
Ir 0.000 0.000 2.450
Ir 0.000 2.450 0.000
Re 1.411 2.450 2.450
Sr 1.411 0.000 0.000
```

Output
Calculated formation energy = 580 meV per atom
Relative energy among the computed polymorphs = 0 meV per atom


Here is SrReIr2 at its PBEsol-relaxed geometry from Alexandria via LeMat-Bulk. Energies are from SCAN.

Structure (extended XYZ):
```
4
Lattice="2.742 0.000 0.000 0.000 5.050 0.016 0.000 -1.920 4.804" Properties=species:S:1:pos:R:3 pbc="T T T"
Ir 0.000 0.000 0.000
Ir 1.371 -0.960 2.402
Re 1.371 2.525 0.008
Sr 0.000 1.565 2.410
```

Output
Calculated formation energy = 784 meV per atom
Relative energy among the computed polymorphs = 204 meV per atom


Here is SrReIr2 at its PBEsol-relaxed geometry from Alexandria via LeMat-Bulk. Energies are from SCAN.

Structure (extended XYZ):
```
4
Lattice="3.520 0.000 0.000 0.000 5.133 0.000 -1.760 -2.567 4.313" Properties=species:S:1:pos:R:3 pbc="T T T"
Ir 1.760 2.567 2.604
Ir 0.000 0.000 1.709
Re 1.760 0.000 0.000
Sr 0.000 2.567 0.000
```

Output
Calculated formation energy = 629 meV per atom
Relative energy among the computed polymorphs = 49 meV per atom


Here is TaReIr2 at its PBEsol-relaxed geometry from Alexandria via LeMat-Bulk. Energies are from SCAN.

Structure (extended XYZ):
```
4
Lattice="-1.396 0.405 -3.613 -2.540 -2.878 0.659 -0.657 3.853 2.784" Properties=species:S:1:pos:R:3 pbc="T T T"
Ir -1.968 -1.236 -1.477
Ir -2.582 -0.131 0.984
Re 0.000 0.000 0.000
Ta -2.011 1.510 -1.153
```

Output
Calculated formation energy = -435 meV per atom
Relative energy among the computed polymorphs = 167 meV per atom


Here is TaReIr2 at its PBEsol-relaxed geometry from Alexandria via LeMat-Bulk. Energies are from SCAN.

Structure (extended XYZ):
```
4
Lattice="-3.420 -1.376 -2.450 -3.734 -1.336 1.966 -3.658 2.476 -0.283" Properties=species:S:1:pos:R:3 pbc="T T T"
Ir -8.109 -0.177 -0.575
Ir -2.703 -0.059 -0.192
Re 0.000 0.000 0.000
Ta -5.406 -0.118 -0.383
```

Output
Calculated formation energy = 157 meV per atom
Relative energy among the computed polymorphs = 759 meV per atom


Here is TaReIr2 at its PBEsol-relaxed geometry from Alexandria via LeMat-Bulk. Energies are from SCAN.

Structure (extended XYZ):
```
4
Lattice="-1.116 -0.909 3.625 -2.175 -2.919 -1.401 4.685 -0.509 -0.784" Properties=species:S:1:pos:R:3 pbc="T T T"
Re -1.645 -1.914 1.112
Ir 0.962 -1.666 1.977
Ir 0.432 -2.671 -0.536
Ta 0.000 0.000 0.000
```

Output
Calculated formation energy = -564 meV per atom
Relative energy among the computed polymorphs = 38 meV per atom


| no. | N(E_F) (states/eV per cell) | magnetic moment (μB/f.u.) |
| --- | --- | --- |
| 1 | 2.66 | 0.0 |
| 2 | 2.08 | 0.0 |
| 3 | 2.09 | 0.0 |
| 4 | 3.46 | 0.1 |
| 5 | 3.47 | 0.6 |
| 6 | 3.91 | 0.3 |
| 7 | 4.39 | 0.0 |
| 8 | 4.17 | 0.0 |
| 9 | 2.87 | 0.0 |
| 10 | 2.56 | 0.0 |
| 11 | 4.74 | 3.0 |
| 12 | 2.34 | 0.0 |